Entry from the Alexandria database: an optimized crystal structure of BaFe3Hg (PBEsol).

Summary:
Size of the total moment = 1.36 μB per atom
Electronic total energy = -3.655 eV/atom

Unit cell a=4.7910 b=4.7910 c=4.7910 alpha=90.00 beta=90.00 gamma=90.00
Last column: nearest neighbours and their distance in Å.
Fractional coordinates of all 5 atoms:
Fe 0.0000 0.5000 0.0000  2 Ba 2.40
Fe 0.0000 0.0000 0.5000  2 Ba 2.40
Fe 0.5000 0.0000 0.0000  2 Ba 2.40
Hg 0.5000 0.5000 0.5000  12 Fe 3.39
Ba 0.0000 0.0000 0.0000  6 Fe 2.40

Entry from the Alexandria database: an optimized crystal structure of BaFe2Hg (PBEsol).

Summary:
Size of the total moment = 1.43 μB per atom
Electronic total energy = -4.331 eV/atom

Unit cell a=5.0010 b=4.9935 c=5.0010 alpha=59.95 beta=90.00 gamma=120.05
Last column: nearest neighbours and their distance in Å.
Fractional coordinates of all 4 atoms:
Ba 0.7500 0.5000 0.7500  4 Hg 3.06, 4 Fe 3.06
Fe 0.0000 0.0000 0.0000  4 Fe 3.06, 4 Ba 3.06
Fe 0.2500 0.5000 0.2500  4 Fe 3.06, 4 Hg 3.06
Hg 0.5000 0.0000 0.5000  4 Ba 3.06, 4 Fe 3.06